Record 1
YBiBr6: relaxed, PBE.

Computed properties:
Total moment in μB per atom: 0.0000
Uncorrected energy in eV per atom: -3.81
Raw formation energy in eV per atom: -1.2626

The structure in POSCAR format:
```
YBiBr6
1.0
7.0508 0.1949 0.0000
1.9167 6.7892 0.0000
0.9583 3.3946 6.6484
Br Bi Y
6 1 1
Direct
0.7554 0.0977 0.2940
0.2446 0.6083 0.2940
0.2470 0.2463 0.0000
0.7554 0.3917 0.7060
0.2446 0.9023 0.7060
0.7530 0.7537 0.0000
0.5000 0.5000 0.0000
0.0000 0.0000 0.0000
```

Record 2
YBiBr2: relaxed, PBE.

Computed properties:
Total moment in μB per atom: 0.0000
Uncorrected energy in eV per atom: -3.95
Raw formation energy in eV per atom: -0.5300
ΔE to the lowest computed polymorph in eV/atom: 0.430

The structure in POSCAR format:
```
YBiBr2
1.0
-2.7723 -4.5439 -0.3792
-5.3193 0.1454 -0.4006
-2.3659 -1.3060 -4.6015
Bi Y Br
1 1 2
Direct
0.5000 0.5000 0.5000
0.0000 0.0000 0.0000
0.2500 0.2500 0.2500
0.7500 0.7500 0.7500
```

Record 3
YBiBr2: relaxed, PBE.

Computed properties:
Total moment in μB per atom: 0.4999
Uncorrected energy in eV per atom: -4.24
Raw formation energy in eV per atom: -0.8132
ΔE to the lowest computed polymorph in eV/atom: 0.147

The structure in POSCAR format:
```
YBiBr2
1.0
9.8096 0.0000 0.0000
0.0000 9.8096 0.0000
4.9048 4.9048 3.1948
Bi Y Br
2 2 4
Direct
0.0000 0.0000 0.0000
0.7500 0.2500 0.5000
0.2500 0.7500 0.5000
0.5000 0.5000 0.0000
0.8750 0.7509 0.7500
0.5009 0.1250 0.2500
0.2491 0.6250 0.2500
0.3750 0.4991 0.7500
```

Record 4
YBi3Br: relaxed, PBE.

Computed properties:
Total moment in μB per atom: 0.0000
Uncorrected energy in eV per atom: -3.75
Raw formation energy in eV per atom: 0.2026
ΔE to the lowest computed polymorph in eV/atom: 0.000

The structure in POSCAR format:
```
YBi3Br
1.0
5.8963 0.0000 0.0000
0.0000 5.8963 0.0000
0.0000 0.0000 5.8963
Y Bi Br
1 3 1
Direct
0.0000 0.0000 0.0000
0.5000 0.0000 0.0000
0.0000 0.0000 0.5000
0.0000 0.5000 0.0000
0.5000 0.5000 0.5000
```

Record 5
Y3BiBr: relaxed, PBE.

Computed properties:
Total moment in μB per atom: 0.0000
Uncorrected energy in eV per atom: -5.24
Raw formation energy in eV per atom: -0.2522
ΔE to the lowest computed polymorph in eV/atom: 0.000

The structure in POSCAR format:
```
Y3BiBr
1.0
5.3514 0.0000 0.0000
0.0000 5.3514 0.0000
0.0000 0.0000 5.3514
Br Y Bi
1 3 1
Direct
0.0000 0.0000 0.0000
0.5000 0.0000 0.0000
0.0000 0.0000 0.5000
0.0000 0.5000 0.0000
0.5000 0.5000 0.5000
```

Record 6
ZnBi4Br2: relaxed, PBE.

Computed properties:
Total moment in μB per atom: 0.0000
Uncorrected energy in eV per atom: -2.61
Raw formation energy in eV per atom: 0.2708

The structure in POSCAR format:
```
ZnBi4Br2
1.0
-5.6228 0.7699 -0.0977
-0.7684 -5.4222 1.4926
-3.0413 -0.2171 8.4387
Zn Bi Br
1 4 2
Direct
0.0000 0.0000 0.0000
0.8406 0.8406 0.3188
0.0000 0.5000 0.0000
0.1594 0.1594 0.6812
0.5000 0.0000 0.0000
0.3930 0.3930 0.2140
0.6070 0.6070 0.7860
```

Repeat the first record exactly.
YBiBr6: relaxed, PBE.

Computed properties:
Total moment in μB per atom: 0.0000
Uncorrected energy in eV per atom: -3.81
Raw formation energy in eV per atom: -1.2626

The structure in POSCAR format:
```
YBiBr6
1.0
7.0508 0.1949 0.0000
1.9167 6.7892 0.0000
0.9583 3.3946 6.6484
Br Bi Y
6 1 1
Direct
0.7554 0.0977 0.2940
0.2446 0.6083 0.2940
0.2470 0.2463 0.0000
0.7554 0.3917 0.7060
0.2446 0.9023 0.7060
0.7530 0.7537 0.0000
0.5000 0.5000 0.0000
0.0000 0.0000 0.0000
```

raw formation energy of number 3 (YBiBr2)? -0.8132 eV per atom

Among the records above, which one has the highest uncorrected energy? ZnBi4Br2

The lowest raw formation energy belongs to which entry? YBiBr6